No. 1
Below is a relaxed BiPbIO2 crystal, with properties calculated at the PBE level.

a b c (Å): 7.764 4.230 8.026
angles (deg): 90.00 104.60 90.00
Element x y z (fractional)
Bi: 0.150 0.250 0.409
Bi: 0.850 0.750 0.591
Pb: 0.169 0.250 0.928
Pb: 0.831 0.750 0.072
I: 0.439 0.750 0.244
I: 0.561 0.250 0.756
O: 0.004 0.750 0.860
O: 0.024 0.750 0.401
O: 0.976 0.250 0.599
O: 0.996 0.250 0.140

## Properties
* energy: -4.91 eV/atom
* crystal system: monoclinic
* size of the total moment: 0.00 μB per formula unit
* space-group type: P2_1/m (11)

No. 2
Below is a relaxed BiPbIO6 crystal, with properties calculated at the PBE level.

a b c (Å): 5.794 5.794 5.173
angles (deg): 90.00 90.00 120.00
Element x y z (fractional)
Bi: 0.000 0.000 0.000
Pb: 0.667 0.333 0.500
I: 0.333 0.667 0.000
O: 0.065 0.391 0.212
O: 0.065 0.674 0.788
O: 0.326 0.391 0.788
O: 0.326 0.935 0.212
O: 0.609 0.674 0.212
O: 0.609 0.935 0.788

## Properties
* energy: -5.06 eV/atom
* crystal system: trigonal
* size of the total moment: 0.00 μB per formula unit
* space-group type: P312 (149)

No. 3
Below is a relaxed BiPbIO2 crystal, with properties calculated at the PBE level.

a b c (Å): 4.528 4.528 6.055
angles (deg): 90.00 90.00 90.00
Element x y z (fractional)
Bi: 0.000 0.000 0.000
Pb: 0.500 0.500 0.500
I: 0.500 0.500 0.000
O: 0.000 0.500 0.500
O: 0.500 0.000 0.500

## Properties
* energy: -3.74 eV/atom
* crystal system: tetragonal
* size of the total moment: 0.28 μB per formula unit
* space-group type: P4/mmm (123)

No. 4
Below is a relaxed BiPbIO2 crystal, with properties calculated at the PBE level.

a b c (Å): 7.630 7.630 7.630
angles (deg): 149.09 149.09 44.28
Element x y z (fractional)
Bi: 0.000 0.000 0.000
Pb: 0.329 0.329 0.000
I: 0.654 0.654 0.000
O: 0.423 0.923 0.500
O: 0.923 0.423 0.500

## Properties
* energy: -4.91 eV/atom
* crystal system: tetragonal
* size of the total moment: 0.00 μB per formula unit
* space-group type: I4mm (107)

No. 5
Below is a relaxed BiPbIO2 crystal, with properties calculated at the PBE level.

a b c (Å): 4.552 4.552 6.192
angles (deg): 90.00 90.00 90.00
Element x y z (fractional)
Bi: 0.000 0.000 0.000
Pb: 0.500 0.500 0.500
I: 0.000 0.000 0.500
O: 0.000 0.500 0.000
O: 0.500 0.000 0.000

## Properties
* energy: -4.07 eV/atom
* crystal system: tetragonal
* size of the total moment: 0.00 μB per formula unit
* space-group type: P4/mmm (123)

No. 6
Below is a relaxed BiPdI2O crystal, with properties calculated at the PBE level.

a b c (Å): 6.184 6.184 4.256
angles (deg): 90.00 90.00 90.00
Element x y z (fractional)
Bi: 0.000 0.000 0.000
Pd: 0.500 0.500 0.500
I: 0.000 0.500 0.000
I: 0.500 0.000 0.000
O: 0.000 0.000 0.500

## Properties
* energy: -3.28 eV/atom
* crystal system: tetragonal
* size of the total moment: 0.71 μB per formula unit
* space-group type: P4/mmm (123)

No. 7
Below is a relaxed BiPdI2O crystal, with properties calculated at the PBE level.

a b c (Å): 5.744 5.744 3.900
angles (deg): 90.00 90.00 90.00
Element x y z (fractional)
Bi: 0.000 0.000 0.000
Pd: 0.500 0.500 0.500
I: 0.000 0.500 0.500
I: 0.500 0.000 0.500
O: 0.500 0.500 0.000

## Properties
* energy: -3.37 eV/atom
* crystal system: tetragonal
* size of the total moment: 0.00 μB per formula unit
* space-group type: P4/mmm (123)

No. 8
Below is a relaxed PmBiIO6 crystal, with properties calculated at the PBE level.

a b c (Å): 5.792 5.792 9.605
angles (deg): 90.00 90.00 120.00
Element x y z (fractional)
Pm: 0.333 0.667 0.250
Pm: 0.667 0.333 0.750
Bi: 0.000 0.000 0.000
Bi: 0.000 0.000 0.500
I: 0.333 0.667 0.750
I: 0.667 0.333 0.250
O: 0.045 0.373 0.634
O: 0.045 0.672 0.866
O: 0.328 0.373 0.866
O: 0.328 0.955 0.634
O: 0.373 0.045 0.134
O: 0.373 0.328 0.366
O: 0.627 0.672 0.634
O: 0.627 0.955 0.866
O: 0.672 0.045 0.366
O: 0.672 0.627 0.134
O: 0.955 0.328 0.134
O: 0.955 0.627 0.366

## Properties
* energy: -5.77 eV/atom
* crystal system: trigonal
* size of the total moment: 0.00 μB per formula unit
* space-group type: P-31c (163)

No. 9
Below is a relaxed PrBi2IO8 crystal, with properties calculated at the PBE level.

a b c (Å): 5.274 5.274 6.973
angles (deg): 90.00 90.00 90.78
Element x y z (fractional)
Pr: 0.000 0.000 0.000
Bi: 0.500 0.500 0.254
Bi: 0.500 0.500 0.746
I: 0.000 0.000 0.500
O: 0.177 0.177 0.293
O: 0.177 0.177 0.707
O: 0.250 0.750 0.500
O: 0.317 0.683 0.000
O: 0.683 0.317 0.000
O: 0.750 0.250 0.500
O: 0.823 0.823 0.293
O: 0.823 0.823 0.707

## Properties
* energy: -5.79 eV/atom
* crystal system: orthorhombic
* size of the total moment: 0.00 μB per formula unit
* space-group type: Cmmm (65)

No. 10
Below is a relaxed PrBiIO6 crystal, with properties calculated at the PBE level.

a b c (Å): 5.856 5.856 9.511
angles (deg): 90.00 90.00 120.00
Element x y z (fractional)
Pr: 0.333 0.667 0.250
Pr: 0.667 0.333 0.750
Bi: 0.000 0.000 0.000
Bi: 0.000 0.000 0.500
I: 0.333 0.667 0.750
I: 0.667 0.333 0.250
O: 0.050 0.374 0.632
O: 0.050 0.676 0.868
O: 0.324 0.374 0.868
O: 0.324 0.950 0.632
O: 0.374 0.050 0.132
O: 0.374 0.324 0.368
O: 0.626 0.676 0.632
O: 0.626 0.950 0.868
O: 0.676 0.050 0.368
O: 0.676 0.626 0.132
O: 0.950 0.324 0.132
O: 0.950 0.626 0.368

## Properties
* energy: -5.74 eV/atom
* crystal system: trigonal
* size of the total moment: 0.00 μB per formula unit
* space-group type: P-31c (163)

No. 11
Below is a relaxed BiPtI2O crystal, with properties calculated at the PBE level.

a b c (Å): 5.833 5.833 3.840
angles (deg): 90.00 90.00 90.00
Element x y z (fractional)
Bi: 0.000 0.000 0.000
Pt: 0.500 0.500 0.500
I: 0.000 0.500 0.500
I: 0.500 0.000 0.500
O: 0.500 0.500 0.000

## Properties
* energy: -3.53 eV/atom
* crystal system: tetragonal
* size of the total moment: 0.49 μB per formula unit
* space-group type: P4/mmm (123)

No. 12
Below is a relaxed BiPtI2O crystal, with properties calculated at the PBE level.

a b c (Å): 6.116 6.116 4.212
angles (deg): 90.00 90.00 90.00
Element x y z (fractional)
Bi: 0.000 0.000 0.000
Pt: 0.500 0.500 0.500
I: 0.000 0.500 0.000
I: 0.500 0.000 0.000
O: 0.000 0.000 0.500

## Properties
* energy: -3.11 eV/atom
* crystal system: tetragonal
* size of the total moment: 0.70 μB per formula unit
* space-group type: P4/mmm (123)

No. 13
Below is a relaxed PuBiIO6 crystal, with properties calculated at the PBE level.

a b c (Å): 5.751 5.751 9.836
angles (deg): 90.00 90.00 120.00
Element x y z (fractional)
Pu: 0.333 0.667 0.250
Pu: 0.667 0.333 0.750
Bi: 0.000 0.000 0.000
Bi: 0.000 0.000 0.500
I: 0.333 0.667 0.750
I: 0.667 0.333 0.250
O: 0.014 0.358 0.636
O: 0.014 0.656 0.864
O: 0.344 0.358 0.864
O: 0.344 0.986 0.636
O: 0.358 0.014 0.136
O: 0.358 0.344 0.364
O: 0.642 0.656 0.636
O: 0.642 0.986 0.864
O: 0.656 0.014 0.364
O: 0.656 0.642 0.136
O: 0.986 0.344 0.136
O: 0.986 0.642 0.364

## Properties
* energy: -6.85 eV/atom
* crystal system: trigonal
* size of the total moment: 4.00 μB per formula unit
* space-group type: P-31c (163)

No. 14
Below is a relaxed RbBiIO2 crystal, with properties calculated at the PBE level.

a b c (Å): 4.953 4.953 6.992
angles (deg): 90.00 90.00 90.00
Element x y z (fractional)
Rb: 0.000 0.000 0.000
Bi: 0.500 0.500 0.500
I: 0.000 0.000 0.500
O: 0.000 0.500 0.000
O: 0.500 0.000 0.000

## Properties
* energy: -2.71 eV/atom
* crystal system: tetragonal
* size of the total moment: 1.41 μB per formula unit
* space-group type: P4/mmm (123)

No. 15
Below is a relaxed RbBiI2O8 crystal, with properties calculated at the PBE level.

a b c (Å): 6.541 6.541 6.813
angles (deg): 109.29 109.29 54.91
Element x y z (fractional)
Rb: 0.000 0.000 0.000
Bi: 0.500 0.500 0.500
I: 0.224 0.224 0.693
I: 0.776 0.776 0.307
O: 0.118 0.625 0.273
O: 0.170 0.170 0.410
O: 0.375 0.882 0.727
O: 0.403 0.403 0.726
O: 0.597 0.597 0.274
O: 0.625 0.118 0.273
O: 0.830 0.830 0.590
O: 0.882 0.375 0.727

## Properties
* energy: -4.58 eV/atom
* crystal system: monoclinic
* size of the total moment: 0.00 μB per formula unit
* space-group type: C2/m (12)

No. 16
Below is a relaxed RbBiIO6 crystal, with properties calculated at the PBE level.

a b c (Å): 5.680 5.680 6.269
angles (deg): 90.00 90.00 120.00
Element x y z (fractional)
Rb: 0.000 0.000 0.000
Bi: 0.333 0.667 0.500
I: 0.667 0.333 0.500
O: 0.409 0.045 0.681
O: 0.409 0.364 0.319
O: 0.636 0.045 0.319
O: 0.636 0.591 0.681
O: 0.955 0.364 0.681
O: 0.955 0.591 0.319

## Properties
* energy: -4.81 eV/atom
* crystal system: trigonal
* size of the total moment: 0.00 μB per formula unit
* space-group type: P312 (149)

No. 17
Below is a relaxed RbBi2IO8 crystal, with properties calculated at the PBE level.

a b c (Å): 4.787 5.173 7.707
angles (deg): 90.05 91.52 90.39
Element x y z (fractional)
Rb: 0.000 0.000 0.000
Bi: 0.492 0.497 0.734
Bi: 0.508 0.503 0.266
I: 0.000 0.000 0.500
O: 0.193 0.831 0.322
O: 0.221 0.856 0.684
O: 0.253 0.298 0.490
O: 0.270 0.484 0.001
O: 0.730 0.516 0.999
O: 0.747 0.702 0.510
O: 0.779 0.144 0.316
O: 0.807 0.169 0.678

## Properties
* energy: -4.83 eV/atom
* crystal system: triclinic
* size of the total moment: 0.00 μB per formula unit
* space-group type: P-1 (2)

No. 18
Below is a relaxed RbBiIO2 crystal, with properties calculated at the PBE level.

a b c (Å): 4.561 4.561 6.387
angles (deg): 90.00 90.00 90.00
Element x y z (fractional)
Rb: 0.000 0.000 0.000
Bi: 0.500 0.500 0.500
I: 0.500 0.500 0.000
O: 0.000 0.500 0.500
O: 0.500 0.000 0.500

## Properties
* energy: -3.99 eV/atom
* crystal system: tetragonal
* size of the total moment: 0.00 μB per formula unit
* space-group type: P4/mmm (123)

No. 19
Below is a relaxed ReBiIO4 crystal, with properties calculated at the PBE level.

a b c (Å): 6.793 6.793 7.452
angles (deg): 102.91 102.91 64.63
Element x y z (fractional)
Re: 0.132 0.132 0.265
Re: 0.868 0.868 0.735
Bi: 0.280 0.280 0.910
Bi: 0.720 0.720 0.090
I: 0.483 0.483 0.253
I: 0.517 0.517 0.747
O: 0.016 0.367 0.131
O: 0.025 0.025 0.783
O: 0.207 0.207 0.502
O: 0.367 0.016 0.131
O: 0.633 0.984 0.869
O: 0.793 0.793 0.498
O: 0.975 0.975 0.217
O: 0.984 0.633 0.869

## Properties
* energy: -6.56 eV/atom
* crystal system: monoclinic
* size of the total moment: 0.00 μB per formula unit
* space-group type: C2/m (12)

No. 20
Below is a relaxed ReBiI2O crystal, with properties calculated at the PBE level.

a b c (Å): 6.320 6.320 4.326
angles (deg): 90.00 90.00 90.00
Element x y z (fractional)
Re: 0.000 0.000 0.000
Bi: 0.500 0.500 0.500
I: 0.000 0.500 0.500
I: 0.500 0.000 0.500
O: 0.500 0.500 0.000

## Properties
* energy: -3.94 eV/atom
* crystal system: tetragonal
* size of the total moment: 5.93 μB per formula unit
* space-group type: P4/mmm (123)